[1]
Density functional theory data (PBE) for a relaxed structure of BaSr2Rh.

The calculation puts the energy relative to the lowest polymorph listed for this composition at 38.57 kJ/mol of atoms. The total energy is -11.8 eV/cell. For the formation energy from the elements, the calculation gives 0.209 eV/atom. The density of states at the Fermi level comes out at 4.2 states/eV/cell.

It has space group P4/mmm (No. 123), with a = 5.060 Å, b = 5.060 Å, c = 5.464 Å, α = 90.00°, β = 90.00° and γ = 90.00°. The distinct sites, in fractional coordinates, are Ba at (0.000, 0.000, 0.000), Sr at (0.000, 0.500, 0.500) and Rh at (0.500, 0.500, 0.000).

[2]
Density functional theory data (PBE) for a relaxed structure of BaSr2Rh4.

The total energy is -57.4 eV/cell. For the formation energy from the elements, the calculation gives 0.859 eV/atom. The density of states at the Fermi level comes out at 24.2 states/eV/cell.

It has space group I4/mmm (No. 139), with a = 5.141 Å, b = 5.141 Å, c = 15.282 Å, α = 90.00°, β = 90.00° and γ = 90.00°. The distinct sites, in fractional coordinates, are Ba at (0.000, 0.000, 0.000), Sr at (0.000, 0.000, 0.362), Rh at (0.000, 0.000, 0.174) and Rh at (0.000, 0.500, 0.000).